Here is an optimized crystal structure of CoTcRu2 from Alexandria. Energies are from PBE-GGA.

a = 4.568 Å, b = 4.568 Å, c = 4.568 Å
α = 131.02°, β = 131.02°, γ = 71.79°
Sites, in units of the cell vectors:
1 Co 0.000 0.000 0.000
2 Tc 0.500 0.500 0.000
3 Ru 0.250 0.750 0.500
4 Ru 0.750 0.250 0.500

Calculated values
The value obtained for the energy relative to the elements is 95 meV per atom. The calculation puts the calculated density at 11231 kg/m³. The value obtained for the spin magnetization is 0.00 μB/f.u. As for the uncorrected energy: -35.64 eV/cell. As for the energy relative to the lowest polymorph listed for this composition: 9 meV per atom.